# 1
Below is a geometry-optimized PrPaTlSn structure, with properties calculated at the PBE level.

a = 7.6998 Å, b = 7.6998 Å, c = 7.6998 Å
α = 90.00°, β = 90.00°, γ = 90.00°
Closest atoms and distances in Å follow each position.
Space group F-43m (No. 216)
Unique sites:
1 Pr 0.0000 0.0000 0.0000 x4  4 Tl 3.33, 4 Sn 3.33
2 Pa 0.0000 0.0000 0.5000 x4  4 Sn 3.33, 4 Tl 3.33
3 Tl 0.2500 0.2500 0.7500 x4  4 Pa 3.33, 4 Pr 3.33
4 Sn 0.2500 0.2500 0.2500 x4  4 Pr 3.33, 4 Pa 3.33

Calculated values
Density: 10.11 Mg/m³
Magnetization: 2.25 μB/f.u.
Fermi-level density of states: 32.71 states/eV/cell
Formation enthalpy at 0 K: -0.11 eV/atom

***

# 2
Below is a geometry-optimized PrPaZnSn structure, with properties calculated at the PBE level.

a = 7.4920 Å, b = 7.4920 Å, c = 7.4920 Å
α = 90.00°, β = 90.00°, γ = 90.00°
Closest atoms and distances in Å follow each position.
Space group F-43m (No. 216)
Unique sites:
1 Pr 0.0000 0.0000 0.0000 x4  4 Sn 3.24, 4 Zn 3.24
2 Pa 0.0000 0.0000 0.5000 x4  4 Zn 3.24, 4 Sn 3.24
3 Zn 0.2500 0.2500 0.2500 x4  4 Pr 3.24, 4 Pa 3.24
4 Sn 0.2500 0.2500 0.7500 x4  4 Pr 3.24, 4 Pa 3.24

Calculated values
Density: 8.78 Mg/m³
Magnetization: 1.69 μB/f.u.
Fermi-level density of states: 34.00 states/eV/cell
Formation enthalpy at 0 K: -0.12 eV/atom

***

# 3
Below is a geometry-optimized Tb2PrPa structure, with properties calculated at the PBE level.

a = 3.4384 Å, b = 3.4384 Å, c = 10.3839 Å
α = 90.00°, β = 90.00°, γ = 90.00°
Closest atoms and distances in Å follow each position.
Space group P4/mmm (No. 123)
Unique sites:
1 Tb 0.0000 0.0000 0.2268 x2  4 Pa 3.38, 4 Tb 3.44, 4 Pr 3.74
2 Pr 0.5000 0.5000 0.5000 x1  4 Pr 3.44, 8 Tb 3.74
3 Pa 0.5000 0.5000 0.0000 x1  8 Tb 3.38, 4 Pa 3.44

Calculated values
Density: 9.33 Mg/m³
Magnetization: 0.00 μB/f.u.
Fermi-level density of states: 6.24 states/eV/cell
Formation enthalpy at 0 K: 0.13 eV/atom
Polymorph energy (0 for the lowest one): 0.000 eV/f.u.

***

# 4
Below is a geometry-optimized Tb2PrPa structure, with properties calculated at the PBE level.

a = 3.3655 Å, b = 3.3655 Å, c = 37.2898 Å
α = 90.00°, β = 90.00°, γ = 120.00°
Closest atoms and distances in Å follow each position.
Space group R-3m (No. 166, hexagonal axes)
Unique sites:
1 Tb 0.0000 0.0000 0.0860 x6  1 Pa 3.21, 6 Tb 3.37, 3 Pr 3.58
2 Pr 0.0000 0.0000 0.5000 x3  6 Pr 3.37, 6 Tb 3.58
3 Pa 0.0000 0.0000 0.0000 x3  2 Tb 3.21, 6 Pa 3.37

Calculated values
Density: 9.39 Mg/m³
Magnetization: 0.00 μB/f.u.
Fermi-level density of states: 15.37 states/eV/cell
Formation enthalpy at 0 K: 0.32 eV/atom
Polymorph energy (0 for the lowest one): 0.746 eV/f.u.

***

# 5
Below is a geometry-optimized PrPaTc structure, with properties calculated at the PBE level.

a = 3.7010 Å, b = 3.7010 Å, c = 24.2349 Å
α = 90.00°, β = 90.00°, γ = 90.00°
Closest atoms and distances in Å follow each position.
Space group I4/mmm (No. 139)
Unique sites:
1 Pr 0.0000 0.0000 0.0733 x4  1 Pa 3.05
2 Pa 0.0000 0.0000 0.1993 x4  4 Tc 2.67
3 Tc 0.0000 0.0000 0.3234 x4  4 Pa 2.67

Calculated values
Density: 9.40 Mg/m³
Magnetization: 0.01 μB/f.u.
Fermi-level density of states: 16.24 states/eV/cell
Formation enthalpy at 0 K: 0.06 eV/atom
Polymorph energy (0 for the lowest one): 0.367 eV/f.u.

***

# 6
Below is a geometry-optimized PrPaTc2 structure, with properties calculated at the PBE level.

a = 6.9816 Å, b = 6.9816 Å, c = 6.9816 Å
α = 90.00°, β = 90.00°, γ = 90.00°
Closest atoms and distances in Å follow each position.
Space group Fm-3m (No. 225)
Unique sites:
1 Pr 0.0000 0.0000 0.0000 x4  8 Tc 3.02
2 Pa 0.0000 0.0000 0.5000 x4  8 Tc 3.02
3 Tc 0.2500 0.2500 0.2500 x8  4 Pr 3.02, 4 Pa 3.02

Calculated values
Density: 11.09 Mg/m³
Magnetization: 0.00 μB/f.u.
Fermi-level density of states: 10.99 states/eV/cell
Formation enthalpy at 0 K: 0.11 eV/atom
Polymorph energy (0 for the lowest one): 0.670 eV/f.u.